Record 1
First-principles (PBE) data for a geometry-optimized HfZr2Al2 structure, as listed in Alexandria.

a b c (Å): 3.993 3.993 7.096
angles (deg): 73.66 73.66 90.00
Fractional coordinates of all 5 atoms:
Zr: 0.750 0.250 0.500
Zr: 0.250 0.750 0.500
Al: 0.407 0.407 0.185
Al: 0.593 0.593 0.815
Hf: 0.000 0.000 0.000

Results
- Energy above the lowest structure with this stoichiometry: 271 meV per atom
- M_tot: 0.00 μB/cell
- Mass density: 6636 kg/m³

Record 2
First-principles (PBE) data for a geometry-optimized HfZrAl2 structure, as listed in Alexandria.

a b c (Å): 4.768 4.768 4.768
angles (deg): 60.00 60.00 60.00
Fractional coordinates of all 4 atoms:
Hf: 0.500 0.500 0.500
Al: 0.750 0.750 0.750
Al: 0.250 0.250 0.250
Zr: 0.000 0.000 0.000

Results
- Energy above the lowest structure with this stoichiometry: 199 meV per atom
- M_tot: 0.00 μB/cell
- Mass density: 7014 kg/m³

Record 3
First-principles (PBE) data for a geometry-optimized HfZr6Al structure, as listed in Alexandria.

a b c (Å): 4.251 6.448 6.448
angles (deg): 90.01 90.00 90.00
Fractional coordinates of all 8 atoms:
Zr: 0.000 0.743 0.257
Zr: 0.500 0.500 0.000
Zr: 0.000 0.257 0.257
Zr: 0.000 0.743 0.743
Zr: 0.000 0.257 0.743
Zr: 0.500 0.000 0.500
Hf: 0.500 0.000 0.000
Al: 0.500 0.500 0.500

Results
- Energy above the lowest structure with this stoichiometry: 0 meV per atom
- M_tot: 0.00 μB/cell
- Mass density: 7073 kg/m³

Record 4
First-principles (PBE) data for a geometry-optimized Hf6ZrAl structure, as listed in Alexandria.

a b c (Å): 7.775 8.021 5.587
angles (deg): 44.19 45.87 58.98
Fractional coordinates of all 8 atoms:
Hf: 0.487 0.247 0.291
Hf: 0.513 0.753 0.709
Hf: 0.975 0.486 0.785
Hf: 0.025 0.514 0.215
Hf: 0.753 0.975 0.759
Hf: 0.247 0.025 0.241
Zr: 0.500 0.500 0.500
Al: 0.000 0.000 0.000

Results
- Energy above the lowest structure with this stoichiometry: 100 meV per atom
- M_tot: 0.00 μB/cell
- Mass density: 11334 kg/m³

Record 5
First-principles (PBE) data for a geometry-optimized HfZr3Al8 structure, as listed in Alexandria.

a b c (Å): 5.313 5.313 9.194
angles (deg): 73.20 73.20 60.00
Fractional coordinates of all 12 atoms:
Al: 0.938 0.438 0.687
Al: 0.937 0.437 0.188
Al: 0.938 0.938 0.687
Al: 0.188 0.188 0.437
Al: 0.437 0.937 0.188
Al: 0.438 0.938 0.687
Al: 0.687 0.687 0.938
Al: 0.437 0.437 0.188
Zr: 0.000 0.000 0.001
Zr: 0.500 0.500 0.499
Zr: 0.375 0.375 0.875
Hf: 0.875 0.875 0.375

Results
- Energy above the lowest structure with this stoichiometry: 4 meV per atom
- M_tot: 0.00 μB/cell
- Mass density: 5235 kg/m³

Record 6
First-principles (PBE) data for a geometry-optimized Hf2Zr2Al structure, as listed in Alexandria.

a b c (Å): 7.383 7.383 4.056
angles (deg): 90.00 90.00 90.00
Fractional coordinates of all 10 atoms:
Hf: 0.361 0.861 0.000
Hf: 0.639 0.139 0.000
Hf: 0.139 0.361 0.000
Hf: 0.861 0.639 0.000
Zr: 0.337 0.163 0.500
Zr: 0.663 0.837 0.500
Zr: 0.163 0.663 0.500
Zr: 0.837 0.337 0.500
Al: 0.500 0.500 0.000
Al: 0.000 0.000 0.000

Results
- Energy above the lowest structure with this stoichiometry: 0 meV per atom
- M_tot: 0.00 μB/cell
- Mass density: 8509 kg/m³

Record 7
First-principles (PBE) data for a geometry-optimized HfZr8Al2 structure, as listed in Alexandria.

a b c (Å): 5.241 7.842 7.842
angles (deg): 119.57 104.00 104.00
Fractional coordinates of all 11 atoms:
Zr: 0.145 0.096 0.325
Zr: 0.855 0.904 0.675
Zr: 0.855 0.675 0.904
Zr: 0.145 0.325 0.096
Zr: 0.500 0.217 0.783
Zr: 0.709 0.404 0.404
Zr: 0.291 0.596 0.596
Zr: 0.500 0.783 0.217
Al: 0.000 0.696 0.304
Al: 0.000 0.304 0.696
Hf: 0.500 0.000 0.000

Results
- M_tot: 0.00 μB/cell
- Mass density: 6500 kg/m³

Record 8
First-principles (PBE) data for a geometry-optimized Hf3ZrAl8 structure, as listed in Alexandria.

a b c (Å): 5.264 5.264 8.718
angles (deg): 90.00 90.00 120.00
Fractional coordinates of all 12 atoms:
Al: 0.162 0.838 0.250
Al: 0.504 0.496 0.751
Al: 0.504 0.008 0.751
Al: 0.333 0.667 0.000
Al: 0.162 0.325 0.250
Al: 0.333 0.667 0.500
Al: 0.675 0.838 0.250
Al: 0.992 0.496 0.751
Zr: 0.000 0.000 0.565
Hf: 0.000 0.000 0.936
Hf: 0.667 0.333 0.434
Hf: 0.667 0.333 0.065

Results
- Energy above the lowest structure with this stoichiometry: 0 meV per atom
- M_tot: 0.00 μB/cell
- Mass density: 6688 kg/m³

Record 9
First-principles (PBE) data for a geometry-optimized HfZr12Al3 structure, as listed in Alexandria.

a b c (Å): 4.421 4.421 17.697
angles (deg): 90.00 90.00 90.00
Fractional coordinates of all 16 atoms:
Zr: 0.500 0.500 0.500
Zr: 0.500 0.500 0.745
Zr: 0.000 0.500 0.130
Zr: 0.000 0.500 0.870
Zr: 0.500 0.000 0.377
Zr: 0.000 0.500 0.377
Zr: 0.500 0.000 0.870
Zr: 0.500 0.000 0.623
Zr: 0.500 0.500 0.255
Zr: 0.000 0.500 0.623
Zr: 0.500 0.000 0.130
Zr: 0.500 0.500 0.000
Hf: 0.000 0.000 0.000
Al: 0.000 0.000 0.500
Al: 0.000 0.000 0.254
Al: 0.000 0.000 0.746

Results
- M_tot: 0.00 μB/cell
- Mass density: 6502 kg/m³

Record 10
First-principles (PBE) data for a geometry-optimized Hf6ZrAl structure, as listed in Alexandria.

a b c (Å): 4.256 6.371 6.371
angles (deg): 90.59 90.00 90.00
Fractional coordinates of all 8 atoms:
Hf: 0.000 0.374 0.122
Hf: 0.000 0.372 0.628
Hf: 0.000 0.878 0.626
Hf: 0.500 0.119 0.369
Hf: 0.500 0.123 0.877
Hf: 0.500 0.631 0.881
Zr: 0.500 0.628 0.372
Al: 0.000 0.876 0.124

Results
- Energy above the lowest structure with this stoichiometry: 0 meV per atom
- M_tot: 0.00 μB/cell
- Mass density: 11431 kg/m³

Record 11
First-principles (PBE) data for a geometry-optimized HfZr2Al2 structure, as listed in Alexandria.

a b c (Å): 7.621 7.621 3.502
angles (deg): 90.00 90.00 90.00
Fractional coordinates of all 10 atoms:
Al: 0.621 0.121 0.000
Al: 0.379 0.879 0.000
Al: 0.879 0.621 0.000
Al: 0.121 0.379 0.000
Zr: 0.323 0.177 0.500
Zr: 0.677 0.823 0.500
Zr: 0.177 0.677 0.500
Zr: 0.823 0.323 0.500
Hf: 0.000 0.000 0.000
Hf: 0.500 0.500 0.000

Results
- Energy above the lowest structure with this stoichiometry: 0 meV per atom
- M_tot: 0.00 μB/cell
- Mass density: 6775 kg/m³

Record 12
First-principles (PBE) data for a geometry-optimized HfZr7Al4 structure, as listed in Alexandria.

a b c (Å): 5.227 8.233 6.945
angles (deg): 74.69 67.89 71.49
Each line ends with the local moment (μB).
Fractional coordinates of all 12 atoms:
Zr: 0.281 0.668 0.770  0.00
Zr: 0.937 0.395 0.730  0.00
Zr: 0.719 0.332 0.230  0.00
Zr: 0.500 0.000 0.000  0.09
Zr: 0.785 0.886 0.543  -0.01
Zr: 0.215 0.114 0.457  -0.01
Zr: 0.063 0.605 0.270  0.00
Hf: 0.000 0.000 0.000  0.09
Al: 0.451 0.744 0.353  0.00
Al: 0.549 0.256 0.647  0.00
Al: 0.684 0.660 0.972  0.00
Al: 0.316 0.340 0.028  0.00

Results
- M_tot: 0.17 μB/cell
- Mass density: 5930 kg/m³

Record 13
First-principles (PBE) data for a geometry-optimized HfZr2Al9 structure, as listed in Alexandria.

a b c (Å): 5.292 5.292 9.242
angles (deg): 73.36 73.36 60.00
Fractional coordinates of all 12 atoms:
Al: 0.588 0.588 0.743
Al: 0.666 0.666 0.001
Al: 0.920 0.412 0.257
Al: 0.334 0.334 0.999
Al: 0.080 0.588 0.743
Al: 0.500 0.500 0.500
Al: 0.412 0.920 0.257
Al: 0.588 0.080 0.743
Al: 0.412 0.412 0.257
Zr: 0.855 0.855 0.435
Zr: 0.145 0.145 0.565
Hf: 0.000 0.000 0.000

Results
- M_tot: 0.00 μB/cell
- Mass density: 4738 kg/m³

Record 14
First-principles (PBE) data for a geometry-optimized Hf5ZrAl2 structure, as listed in Alexandria.

a b c (Å): 3.199 7.500 7.500
angles (deg): 79.53 77.68 77.68
Fractional coordinates of all 8 atoms:
Hf: 0.636 0.140 0.588
Hf: 0.000 0.500 0.500
Hf: 0.636 0.588 0.140
Hf: 0.364 0.860 0.412
Hf: 0.364 0.412 0.860
Al: 0.736 0.764 0.764
Al: 0.264 0.236 0.236
Zr: 0.000 0.000 0.000

Results
- Energy above the lowest structure with this stoichiometry: 124 meV per atom
- M_tot: 0.00 μB/cell
- Mass density: 10135 kg/m³

Record 15
First-principles (PBE) data for a geometry-optimized HfZr3Al3 structure, as listed in Alexandria.

a b c (Å): 8.352 8.352 8.352
angles (deg): 90.00 90.00 90.00
Each line ends with the local moment (μB).
Fractional coordinates of all 28 atoms:
Al: 0.747 0.374 0.498  0.00
Al: 0.374 0.498 0.747  0.00
Al: 0.753 0.626 0.998  0.00
Al: 0.502 0.247 0.126  0.00
Al: 0.998 0.753 0.626  0.00
Al: 0.253 0.874 0.002  0.00
Al: 0.498 0.747 0.374  0.00
Al: 0.002 0.253 0.874  0.00
Al: 0.626 0.998 0.753  0.00
Al: 0.874 0.002 0.253  0.00
Al: 0.247 0.126 0.502  0.00
Al: 0.126 0.502 0.247  0.00
Zr: 0.929 0.929 0.929  -0.25
Zr: 0.322 0.822 0.678  0.25
Zr: 0.676 0.676 0.676  0.24
Zr: 0.176 0.824 0.324  0.24
Zr: 0.071 0.429 0.571  -0.25
Zr: 0.429 0.571 0.071  -0.25
Zr: 0.324 0.176 0.824  0.24
Zr: 0.571 0.071 0.429  -0.25
Zr: 0.824 0.324 0.176  0.24
Zr: 0.678 0.322 0.822  0.25
Zr: 0.822 0.678 0.322  0.25
Zr: 0.178 0.178 0.178  0.25
Hf: 0.076 0.576 0.924  -0.23
Hf: 0.576 0.924 0.076  -0.23
Hf: 0.924 0.076 0.576  -0.23
Hf: 0.424 0.424 0.424  -0.23

Results
- M_tot: 0.13 μB/cell
- Mass density: 6078 kg/m³

Record 16
First-principles (PBE) data for a geometry-optimized Hf2ZrAl2 structure, as listed in Alexandria.

a b c (Å): 8.279 8.279 2.967
angles (deg): 90.00 90.00 90.00
Fractional coordinates of all 10 atoms:
Al: 0.173 0.673 0.500
Al: 0.327 0.173 0.500
Al: 0.673 0.827 0.500
Al: 0.827 0.327 0.500
Hf: 0.375 0.875 0.000
Hf: 0.875 0.625 0.000
Hf: 0.125 0.375 0.000
Hf: 0.625 0.125 0.000
Zr: 0.500 0.500 0.000
Zr: 0.000 0.000 0.000

Results
- Energy above the lowest structure with this stoichiometry: 239 meV per atom
- M_tot: 0.00 μB/cell
- Mass density: 8202 kg/m³

Record 17
First-principles (PBE) data for a geometry-optimized Hf2ZrAl2 structure, as listed in Alexandria.

a b c (Å): 3.039 3.017 11.068
angles (deg): 82.17 90.00 90.00
Fractional coordinates of all 5 atoms:
Zr: 0.000 0.000 0.000
Al: 0.500 0.596 0.809
Al: 0.500 0.404 0.191
Hf: 0.000 0.813 0.374
Hf: 0.000 0.187 0.626

Results
- Energy above the lowest structure with this stoichiometry: 114 meV per atom
- M_tot: 0.00 μB/cell
- Mass density: 8296 kg/m³

Record 18
First-principles (PBE) data for a geometry-optimized Hf4ZrAl2 structure, as listed in Alexandria.

a b c (Å): 7.431 5.889 7.657
angles (deg): 90.00 119.27 90.00
Fractional coordinates of all 14 atoms:
Hf: 0.421 0.999 0.770
Hf: 0.421 0.501 0.770
Hf: 0.868 0.250 0.084
Hf: 0.027 0.250 0.516
Hf: 0.973 0.750 0.484
Hf: 0.579 0.499 0.230
Hf: 0.132 0.750 0.916
Hf: 0.579 0.001 0.230
Zr: 0.253 0.750 0.337
Zr: 0.747 0.250 0.663
Al: 0.682 0.750 0.625
Al: 0.195 0.250 0.957
Al: 0.318 0.250 0.375
Al: 0.805 0.750 0.043

Results
- Energy above the lowest structure with this stoichiometry: 0 meV per atom
- M_tot: 0.00 μB/cell
- Mass density: 9763 kg/m³

Record 19
First-principles (PBE) data for a geometry-optimized AlHg2 structure, as listed in Alexandria.

a b c (Å): 13.304 13.304 13.304
angles (deg): 166.08 166.08 19.74
Fractional coordinates of all 6 atoms:
Hg: 0.175 0.675 0.500
Hg: 0.425 0.425 0.000
Hg: 0.325 0.825 0.500
Hg: 0.575 0.575 0.000
Al: 0.000 0.000 0.000
Al: 0.750 0.250 0.500

Results
- M_tot: 0.00 μB/cell
- Mass density: 10429 kg/m³

Record 20
First-principles (PBE) data for a geometry-optimized AlHg2 structure, as listed in Alexandria.

a b c (Å): 5.269 5.269 9.330
angles (deg): 76.55 76.55 34.15
Fractional coordinates of all 6 atoms:
Al: 0.431 0.431 0.268
Al: 0.994 0.994 0.006
Hg: 0.682 0.682 0.326
Hg: 0.877 0.877 0.560
Hg: 0.579 0.579 0.717
Hg: 0.269 0.269 0.957

Results
- M_tot: 0.00 μB/cell
- Mass density: 10083 kg/m³

Record 21
First-principles (PBE) data for a geometry-optimized AlHg3 structure, as listed in Alexandria.

a b c (Å): 9.036 9.036 9.036
angles (deg): 22.36 22.36 22.36
Fractional coordinates of all 4 atoms:
Al: 0.000 0.000 0.000
Hg: 0.257 0.257 0.257
Hg: 0.500 0.500 0.500
Hg: 0.743 0.743 0.743

Results
- M_tot: 0.00 μB/cell
- Mass density: 11152 kg/m³

Record 22
First-principles (PBE) data for a geometry-optimized Al3Hg structure, as listed in Alexandria.

a b c (Å): 4.221 4.221 4.221
angles (deg): 90.00 90.00 90.00
Fractional coordinates of all 4 atoms:
Al: 0.500 0.500 0.000
Al: 0.500 0.000 0.500
Al: 0.000 0.500 0.500
Hg: 0.000 0.000 0.000

Results
- Energy above the lowest structure with this stoichiometry: 73 meV per atom
- M_tot: 0.00 μB/cell
- Mass density: 6217 kg/m³

| no. | formation energy (meV per atom) |
| --- | --- |
| 1 | -109 |
| 2 | -242 |
| 3 | -111 |
| 4 | 22 |
| 5 | -512 |
| 6 | 28 |
| 7 | -26 |
| 8 | -469 |
| 9 | -202 |
| 10 | -78 |
| 11 | -380 |
| 12 | 9 |
| 13 | -228 |
| 14 | -125 |
| 15 | -232 |
| 16 | -97 |
| 17 | -223 |
| 18 | -90 |
| 19 | 151 |
| 20 | 112 |
| 21 | 114 |
| 22 | 178 |